# 1
## Pm2GaSi3 (PBE-GGA)

Data for an optimized crystal structure of Pm2GaSi3.

It has space group Pmm2 (No. 25), with a = 4.077 Å, b = 4.141 Å, c = 7.331 Å, α = 90.00°, β = 90.00° and γ = 90.00°. The distinct sites, in fractional coordinates, are Pm at (0.000, 0.000, 0.000), Pm at (0.500, 0.000, 0.485), Ga at (0.000, 0.500, 0.659), Si at (0.000, 0.500, 0.326), Si at (0.500, 0.500, 0.160) and Si at (0.500, 0.500, 0.834).

Its uncorrected formation energy is -621.5 meV/atom. For the raw total energy, the calculation gives -5.421 eV per atom.

***

# 2
## Ti3NiB7 (PBE-GGA)

Data for an optimized crystal structure of Ti3NiB7.

It has space group Cmcm (No. 63), with a = 3.120 Å, b = 14.124 Å, c = 8.695 Å, α = 90.00°, β = 90.00° and γ = 90.00°. The distinct sites, in fractional coordinates, are Ti at (0.000, 0.107, 0.051), Ti at (0.000, 0.247, 0.750), Ni at (0.000, 0.047, 0.750), B at (0.000, 0.272, 0.033), B at (0.000, 0.367, 0.150), B at (0.000, 0.429, 0.750) and B at (0.000, 0.487, 0.093).

The energy of formation from the pure elements is -0.76 eV/atom. For the raw total energy, the calculation gives -7.685 eV per atom.

***

# 3
## IrRh2Br (PBE-GGA)

Data for an optimized crystal structure of IrRh2Br.

It has space group Cmmm (No. 65), with a = 2.774 Å, b = 4.957 Å, c = 9.328 Å, α = 90.00°, β = 90.00° and γ = 90.00°. The distinct sites, in fractional coordinates, are Ir at (0.000, 0.000, 0.000), Rh at (0.000, 0.500, 0.242) and Br at (0.000, 0.000, 0.500).

Its uncorrected formation energy is 599.8 meV/atom. For the raw total energy, the calculation gives -5.709 eV per atom.